Sc2Zn2Co after structural relaxation. Source: OQMD, functional PBE.

a b c (Å): 3.935 3.935 6.579
angles (deg): 107.40 107.40 90.00
Last column: magnetic moment on the atom in μB.
Fractional positions:
Zn1 0.406 0.406 0.812  0.04
Zn2 0.594 0.594 0.188  0.04
Sc1 0.250 0.750 0.500  0.12
Sc2 0.750 0.250 0.500  0.12
Co1 0.000 0.000 0.000  -1.64

Computed properties:
The value obtained for the calculated formation energy is 2.32 eV/f.u. Its crystal system is tetragonal.

MgAl2ZnCu4 after structural relaxation. Source: OQMD, functional PBE.

a b c (Å): 7.375 7.375 7.375
angles (deg): 132.27 132.27 69.80
Fractional positions:
Al1 0.255 0.755 0.500
Al2 0.495 0.495 0.000
Al3 0.005 0.005 0.000
Al4 0.745 0.245 0.500
Cu1 0.375 0.387 0.512
Cu2 0.113 0.625 0.988
Cu3 0.637 0.625 0.512
Cu4 0.375 0.863 0.988
Cu5 0.113 0.125 0.488
Cu6 0.637 0.125 0.012
Cu7 0.875 0.863 0.488
Cu8 0.875 0.387 0.012
Mg1 0.250 0.250 0.000
Mg2 0.500 0.000 0.500
Zn1 0.000 0.500 0.500
Zn2 0.750 0.750 0.000

Computed properties:
The energy above the most stable polymorph in this dataset is 1 meV per atom. Its crystal system is tetragonal.

NaTc2O4 after structural relaxation. Source: OQMD, functional PBE.

a b c (Å): 6.277 6.277 6.277
angles (deg): 119.99 90.01 119.99
Last column: magnetic moment on the atom in μB.
Fractional positions:
O1 0.572 0.715 0.857  0.11
O2 0.143 0.715 0.857  0.11
O3 0.607 0.215 0.393  0.12
O4 0.607 0.785 0.393  0.11
O5 0.178 0.785 0.393  0.11
O6 0.607 0.215 0.822  0.12
O7 0.143 0.285 0.428  0.12
O8 0.143 0.285 0.857  0.12
Na1 0.750 0.500 0.250  0.01
Na2 0.000 0.000 0.000  0.01
Tc1 0.375 0.750 0.625  2.03
Tc2 0.375 0.750 0.125  2.05
Tc3 0.875 0.250 0.625  2.14
Tc4 0.375 0.250 0.625  2.15

Computed properties:
The calculation puts the total DFT energy (no corrections) at -7.271 eV per atom. Its crystal system is cubic.

Ho5MgTl3 after structural relaxation. Source: OQMD, functional PBE.

a b c (Å): 9.239 9.239 6.609
angles (deg): 90.00 90.00 60.00
Fractional positions:
Ho1 0.300 0.000 0.250
Ho2 0.000 0.700 0.250
Ho3 0.667 0.667 0.500
Ho4 0.000 0.300 0.750
Ho5 0.300 0.700 0.750
Ho6 0.333 0.333 0.000
Ho7 0.333 0.333 0.500
Ho8 0.700 0.000 0.750
Ho9 0.667 0.667 0.000
Ho10 0.700 0.300 0.250
Tl1 0.362 0.638 0.250
Tl2 0.000 0.638 0.750
Tl3 0.000 0.362 0.250
Tl4 0.362 0.000 0.750
Tl5 0.638 0.000 0.250
Tl6 0.638 0.362 0.750
Mg1 0.000 0.000 0.000
Mg2 0.000 0.000 0.500

Computed properties:
The calculation puts the total DFT energy (no corrections) at -3.789 eV per atom. Its crystal system is hexagonal.

SmTeNO after structural relaxation. Source: OQMD, functional PBE.

a b c (Å): 5.110 5.110 4.904
angles (deg): 90.00 90.00 90.00
Fractional positions:
N1 0.750 0.750 0.401
N2 0.250 0.250 0.599
Sm1 0.250 0.750 0.500
Sm2 0.750 0.250 0.500
Te1 0.750 0.750 0.985
Te2 0.250 0.250 0.015
O1 0.250 0.750 0.000
O2 0.750 0.250 0.000

Computed properties:
The energy above the most stable polymorph in this dataset is 634 meV per atom. Its crystal system is tetragonal.

Ta3Al2 after structural relaxation. Source: OQMD, functional PBE.

a b c (Å): 9.940 9.940 5.278
angles (deg): 90.00 90.00 90.00
Fractional positions:
Al1 0.234 0.564 0.000
Al2 0.436 0.766 0.000
Al3 0.064 0.266 0.500
Al4 0.598 0.402 0.500
Al5 0.734 0.936 0.500
Al6 0.564 0.234 0.000
Al7 0.936 0.734 0.500
Al8 0.766 0.436 0.000
Al9 0.402 0.598 0.500
Al10 0.266 0.064 0.500
Al11 0.902 0.902 0.000
Al12 0.098 0.098 0.000
Ta1 0.181 0.819 0.254
Ta2 0.500 0.500 0.000
Ta3 0.819 0.181 0.254
Ta4 0.629 0.968 0.000
Ta5 0.129 0.532 0.500
Ta6 0.000 0.000 0.500
Ta7 0.319 0.319 0.246
Ta8 0.681 0.681 0.246
Ta9 0.681 0.681 0.754
Ta10 0.181 0.819 0.746
Ta11 0.968 0.629 0.000
Ta12 0.319 0.319 0.754
Ta13 0.871 0.468 0.500
Ta14 0.468 0.871 0.500
Ta15 0.532 0.129 0.500
Ta16 0.819 0.181 0.746
Ta17 0.032 0.371 0.000
Ta18 0.371 0.032 0.000

Computed properties:
The calculation puts the total DFT energy (no corrections) at -8.734 eV per atom. Its crystal system is tetragonal.